An optimized crystal structure of ScIn2Rh2. Source: the Alexandria database, functional GGA-PBE.

Lattice parameters (Å, degrees): 7.7957 7.7957 3.0540 90.00 90.00 90.00
Sites, in units of the cell vectors:
Sc: 0.0000 0.0000 0.0000
Sc: 0.5000 0.5000 0.0000
Rh: 0.1696 0.6696 0.5000
Rh: 0.6696 0.8304 0.5000
Rh: 0.8304 0.3304 0.5000
Rh: 0.3304 0.1696 0.5000
In: 0.3694 0.8694 0.0000
In: 0.8694 0.6306 0.0000
In: 0.6306 0.1306 0.0000
In: 0.1306 0.3694 0.0000

For the distance to the lowest polymorph of the same formula, the calculation gives 0.1059 eV per atom. As for the space group: P4/mbm (127). For the total energy, the calculation gives -5.74 eV per atom. The magnetic moment comes out at 0.056 μB per atom.